The following is a meta-GGA SCAN calculation of Bi2AuCl at its PBEsol-relaxed geometry, from Alexandria via LeMat-Bulk.

Structure (CIF):
```
data_Bi2AuCl
_chemical_formula_sum 'Bi2 Au1 Cl1'
_space_group_name_H-M_alt 'P 1'
_space_group_IT_number 1
_cell_length_a 5.0626
_cell_length_b 5.0626
_cell_length_c 5.0626
_cell_angle_alpha 60.00
_cell_angle_beta 60.00
_cell_angle_gamma 60.00
loop_
_space_group_symop_operation_xyz
'x,y,z'
loop_
_atom_site_label
_atom_site_fract_x
_atom_site_fract_y
_atom_site_fract_z
Au1 0.5000 0.5000 0.5000
Bi1 0.2500 0.2500 0.2500
Bi2 0.7500 0.7500 0.7500
Cl1 0.0000 0.0000 0.0000
```

**Formation energy without anion corrections**: -0.05 eV per atom
**Crystal system**: cubic
**DOS(E_F)**: 1.621 states/eV/f.u.
**DFT total energy**: -58.628 eV per atom